Record 1
Here is a geometry-optimized Ac2NiAgPd structure from the Alexandria database. Energies are from PBE-GGA.

a b c (Å): 8.1476 8.1476 4.3378
angles (deg): 90.00 90.00 115.00
Closest atoms and distances in Å follow each position.
Element x y z (fractional)
Ac1 0.0942 0.3467 0.2500  3 Ni 3.04-3.11, 3 Pd 3.11-3.26, 2 Ag 3.34
Ac2 0.3467 0.0942 0.7500  3 Ni 3.04-3.11, 3 Pd 3.11-3.26, 2 Ag 3.34
Ac3 0.6533 0.9058 0.2500  3 Ni 3.04-3.11, 3 Pd 3.11-3.26, 2 Ag 3.34
Ac4 0.9058 0.6533 0.7500  3 Ni 3.04-3.11, 3 Pd 3.11-3.26, 2 Ag 3.34
Ni1 0.0443 0.9557 0.2500  2 Ni 2.49, 1 Pd 2.61
Ni2 0.9557 0.0443 0.7500  2 Ni 2.49, 1 Pd 2.61
Ag1 0.4232 0.5768 0.7500  2 Ag 3.03, 4 Ac 3.34, 2 Pd 3.39
Ag2 0.5768 0.4232 0.2500  2 Ag 3.03, 4 Ac 3.34, 2 Pd 3.39
Pd1 0.2341 0.7659 0.2500  1 Ni 2.61
Pd2 0.7659 0.2341 0.7500  1 Ni 2.61

Calculated values
Calculated volume, Å³/cell: 261.0
Calculated total energy, eV/atom: -4.847
Total magnetic moment, μB per cell: 0.00
SG: No. 63

***

Record 2
Here is a geometry-optimized AcPrNiAg structure from the Alexandria database. Energies are from PBE-GGA.

a b c (Å): 5.3113 5.3113 5.3113
angles (deg): 60.00 60.00 60.00
Closest atoms and distances in Å follow each position.
Element x y z (fractional)
Ac1 0.0000 0.0000 0.0000  4 Ni 3.25, 4 Ag 3.25
Pr1 0.5000 0.5000 0.5000  4 Ag 3.25, 4 Ni 3.25
Ni1 0.2500 0.2500 0.2500  4 Ac 3.25, 4 Pr 3.25
Ag1 0.7500 0.7500 0.7500  4 Pr 3.25, 4 Ac 3.25

Calculated values
Calculated volume, Å³/cell: 105.9
Calculated total energy, eV/atom: -4.525
Total magnetic moment, μB per cell: 0.00
SG: No. 216

***

Record 3
Here is a geometry-optimized Ac6NiAgPt2 structure from the Alexandria database. Energies are from PBE-GGA.

a b c (Å): 8.3347 8.3347 8.3347
angles (deg): 55.17 55.17 55.17
Closest atoms and distances in Å follow each position.
Element x y z (fractional)
Ac1 0.0002 0.3317 0.6681  1 Ni 3.01, 2 Pt 3.08, 1 Ag 3.28
Ac2 0.1344 0.8623 0.5198  1 Ni 3.00, 2 Pt 3.08, 1 Ag 3.24
Ac3 0.3317 0.6681 0.0002  1 Ni 3.01, 2 Pt 3.08, 1 Ag 3.28
Ac4 0.5198 0.1344 0.8623  1 Ni 3.00, 2 Pt 3.08, 1 Ag 3.24
Ac5 0.6681 0.0002 0.3317  1 Ni 3.01, 2 Pt 3.08, 1 Ag 3.28
Ac6 0.8623 0.5198 0.1344  1 Ni 3.00, 2 Pt 3.08, 1 Ag 3.24
Ni1 0.9252 0.9252 0.9252  6 Ac 3.00-3.01
Ag1 0.4296 0.4296 0.4296  6 Ac 3.24-3.28
Pt1 0.2535 0.2535 0.2535  6 Ac 3.08
Pt2 0.7462 0.7462 0.7462  6 Ac 3.08

Calculated values
Calculated volume, Å³/cell: 363.4
Calculated total energy, eV/atom: -5.071
Total magnetic moment, μB per cell: 0.00
SG: No. 146

***

Record 4
Here is a geometry-optimized Ac3NiAgRh structure from the Alexandria database. Energies are from PBE-GGA.

a b c (Å): 9.4354 4.2700 9.4813
angles (deg): 90.00 106.01 90.00
Closest atoms and distances in Å follow each position.
Element x y z (fractional)
Ac1 0.0715 0.2500 0.3543  3 Rh 2.92-3.02
Ac2 0.2282 0.2500 0.9944  1 Rh 2.92, 3 Ni 3.00-3.06
Ac3 0.3892 0.7500 0.6946  2 Rh 3.00, 3 Ni 3.20-3.28
Ac4 0.6108 0.2500 0.3054  2 Rh 3.00, 3 Ni 3.20-3.28
Ac5 0.7718 0.7500 0.0056  1 Rh 2.92, 3 Ni 3.00-3.06
Ac6 0.9285 0.7500 0.6457  3 Rh 2.92-3.02
Ni1 0.4702 0.7500 0.0541  2 Ni 2.50
Ni2 0.5298 0.2500 0.9459  2 Ni 2.50
Ag1 0.3270 0.7500 0.2804  1 Ni 2.83
Ag2 0.6730 0.2500 0.7196  1 Ni 2.83
Rh1 0.1607 0.2500 0.6750  6 Ac 2.92-3.02
Rh2 0.8393 0.7500 0.3250  6 Ac 2.92-3.02

Calculated values
Calculated volume, Å³/cell: 367.2
Calculated total energy, eV/atom: -5.136
Total magnetic moment, μB per cell: 0.00
SG: No. 11

***

Record 5
Here is a geometry-optimized Ac2Ni3AgSb4 structure from the Alexandria database. Energies are from PBE-GGA.

a b c (Å): 4.6650 4.6650 10.3819
angles (deg): 90.00 90.00 90.00
Closest atoms and distances in Å follow each position.
Element x y z (fractional)
Ac1 0.0000 0.5000 0.2481  7 Ni 3.47-3.79, 2 Ag 3.47, 8 Sb 3.49-3.50
Ac2 0.5000 0.0000 0.7519  2 Ag 3.47, 7 Ni 3.47-3.79, 8 Sb 3.49-3.50
Ni1 0.0000 0.0000 0.0000  4 Sb 2.74
Ni2 0.0000 0.5000 0.6130  5 Sb 2.57-2.61
Ni3 0.5000 0.0000 0.3870  5 Sb 2.57-2.61
Ag1 0.5000 0.5000 0.0000  4 Sb 2.74
Sb1 0.0000 0.0000 0.5000  4 Ni 2.61
Sb2 0.0000 0.5000 0.8608  3 Ni 2.57-2.74, 2 Ag 2.74
Sb3 0.5000 0.0000 0.1392  3 Ni 2.57-2.74, 2 Ag 2.74
Sb4 0.5000 0.5000 0.5000  4 Ni 2.61

Calculated values
Calculated volume, Å³/cell: 225.9
Calculated total energy, eV/atom: -5.106
Total magnetic moment, μB per cell: 0.00
SG: No. 115
Raw formation energy, eV per atom: -0.6154

***

Record 6
Here is a geometry-optimized AcNiAgSb structure from the Alexandria database. Energies are from PBE-GGA.

a b c (Å): 5.0807 5.0807 5.0807
angles (deg): 60.00 60.00 60.00
Closest atoms and distances in Å follow each position.
Element x y z (fractional)
Ac1 0.0000 0.0000 0.0000  4 Ni 3.11, 4 Ag 3.11
Ni1 0.7500 0.7500 0.7500  4 Ac 3.11, 4 Sb 3.11
Ag1 0.2500 0.2500 0.2500  4 Sb 3.11, 4 Ac 3.11
Sb1 0.5000 0.5000 0.5000  4 Ni 3.11, 4 Ag 3.11

Calculated values
Calculated volume, Å³/cell: 92.7
Calculated total energy, eV/atom: -4.454
Total magnetic moment, μB per cell: 0.00
SG: No. 216
Raw formation energy, eV per atom: -0.2385